A plane-wave DFT calculation with PBE-GGA was carried out for a geometry-optimized ZnCu2O4 structure.

Lattice parameters (Å, degrees): 5.934 5.934 14.485 90.26 90.26 60.16
Positions (direct):
Zn 0.000 0.000 0.000
Zn 0.010 0.010 0.627
Zn 0.166 0.166 0.167
Zn 0.333 0.333 0.335
Zn 0.500 0.500 0.500
Zn 0.832 0.832 0.835
Cu 0.166 0.666 0.168
Cu 0.327 0.327 0.709
Cu 0.334 0.831 0.834
Cu 0.339 0.339 0.959
Cu 0.502 0.999 0.501
Cu 0.660 0.660 0.046
Cu 0.666 0.166 0.168
Cu 0.666 0.666 0.668
Cu 0.673 0.673 0.290
Cu 0.831 0.334 0.834
Cu 0.994 0.994 0.377
Cu 0.999 0.502 0.501
O 0.009 0.009 0.764
O 0.025 0.502 0.244
O 0.162 0.643 0.425
O 0.166 0.166 0.915
O 0.168 0.168 0.425
O 0.172 0.688 0.911
O 0.307 0.830 0.091
O 0.323 0.323 0.576
O 0.340 0.340 0.091
O 0.374 0.827 0.582
O 0.496 0.496 0.246
O 0.500 0.963 0.751
O 0.502 0.025 0.244
O 0.502 0.502 0.749
O 0.643 0.162 0.425
O 0.656 0.656 0.909
O 0.675 0.675 0.423
O 0.688 0.172 0.911
O 0.826 0.826 0.582
O 0.827 0.374 0.582
O 0.830 0.307 0.091
O 0.837 0.837 0.089
O 0.963 0.500 0.751
O 0.993 0.993 0.245

Raw formation energy   -629.4 meV per atom
Excess energy over the best structure of this formula in the dataset   0.090 eV per atom
Volume   10.5 Å³/atom

A plane-wave DFT calculation with PBE-GGA was carried out for a geometry-optimized ZnCu2O4 structure.

Lattice parameters (Å, degrees): 5.940 5.940 5.940 60.00 60.00 60.00
Positions (direct):
Zn 0.125 0.125 0.125
Zn 0.875 0.875 0.875
Cu 0.000 0.500 0.500
Cu 0.500 0.000 0.500
Cu 0.500 0.500 0.000
Cu 0.500 0.500 0.500
O 0.261 0.261 0.261
O 0.261 0.261 0.717
O 0.261 0.717 0.261
O 0.283 0.739 0.739
O 0.717 0.261 0.261
O 0.739 0.283 0.739
O 0.739 0.739 0.283
O 0.739 0.739 0.739

Raw formation energy   -672.5 meV per atom
Excess energy over the best structure of this formula in the dataset   0.047 eV per atom
Volume   10.6 Å³/atom

A plane-wave DFT calculation with PBE-GGA was carried out for a geometry-optimized ZnCu2O4 structure.

Lattice parameters (Å, degrees): 6.150 6.150 6.150 127.67 127.67 77.16
Positions (direct):
Zn 0.375 0.125 0.250
Zn 0.625 0.875 0.750
Cu 0.000 0.000 0.500
Cu 0.000 0.500 0.000
Cu 0.000 0.500 0.500
Cu 0.500 0.500 0.000
O 0.001 0.879 0.715
O 0.214 0.499 0.379
O 0.335 0.714 0.215
O 0.379 0.165 0.879
O 0.621 0.835 0.121
O 0.665 0.286 0.785
O 0.786 0.501 0.621
O 0.999 0.121 0.285

Raw formation energy   -681.1 meV per atom
Excess energy over the best structure of this formula in the dataset   0.038 eV per atom
Volume   10.1 Å³/atom

Q: The highest raw formation energy belongs to which entry?
A: number 1

Q: Among the records above, which one has the highest raw formation energy?
A: number 1

Q: Which of these has the lowest excess energy over the best structure of this formula in the dataset?
A: number 3